(1)
DFT (PBE) results for NdErMgRu after structural relaxation.

Properties
**Space group**: F-43m, No. 216
**E above lowest polymorph**: 0.092 eV/atom
**Energy of formation**: -52 kJ/mol of formula units

a = 5.0820 Å, b = 5.0820 Å, c = 5.0820 Å
α = 60.00°, β = 60.00°, γ = 60.00°
Atoms (fractional coordinates):
Nd  0.0000  0.0000  0.0000
Er  0.5000  0.5000  0.5000
Mg  0.7500  0.7500  0.7500
Ru  0.2500  0.2500  0.2500

***

(2)
DFT (PBE) results for K5Pr3F12 after structural relaxation.

Properties
**Space group**: Ia-3d, No. 230
**Energy relative to the elements, uncorrected**: -3.052 eV per atom

a = 12.8070 Å, b = 12.8070 Å, c = 12.8070 Å
α = 109.47°, β = 109.47°, γ = 109.47°
Atoms (fractional coordinates):
K  0.0000  0.0000  0.0000
K  0.0000  0.0000  0.5000
K  0.0000  0.5000  0.0000
K  0.0000  0.5000  0.5000
K  0.1250  0.7500  0.8750
K  0.1250  0.8750  0.2500
K  0.2500  0.1250  0.8750
K  0.2500  0.6250  0.3750
K  0.3750  0.2500  0.6250
K  0.3750  0.6250  0.7500
K  0.5000  0.0000  0.0000
K  0.5000  0.0000  0.5000
K  0.5000  0.5000  0.0000
K  0.5000  0.5000  0.5000
K  0.6250  0.3750  0.2500
K  0.6250  0.7500  0.3750
K  0.7500  0.3750  0.6250
K  0.7500  0.8750  0.1250
K  0.8750  0.1250  0.7500
K  0.8750  0.2500  0.1250
Pr  0.1250  0.2500  0.3750
Pr  0.1250  0.3750  0.7500
Pr  0.2500  0.3750  0.1250
Pr  0.2500  0.8750  0.6250
Pr  0.3750  0.1250  0.2500
Pr  0.3750  0.7500  0.1250
Pr  0.6250  0.2500  0.8750
Pr  0.6250  0.8750  0.7500
Pr  0.7500  0.1250  0.3750
Pr  0.7500  0.6250  0.8750
Pr  0.8750  0.6250  0.2500
Pr  0.8750  0.7500  0.6250
F  0.0562  0.6309  0.3887
F  0.0562  0.9254  0.6675
F  0.0746  0.2422  0.1309
F  0.0746  0.3325  0.9438
F  0.1113  0.7422  0.6675
F  0.1113  0.8691  0.4438
F  0.1309  0.0746  0.2422
F  0.1309  0.5562  0.8887
F  0.1675  0.2422  0.6113
F  0.1675  0.4254  0.5562
F  0.2422  0.1309  0.0746
F  0.2422  0.6113  0.1675
F  0.2578  0.3325  0.8887
F  0.2578  0.4254  0.3691
F  0.3325  0.8887  0.2578
F  0.3325  0.9438  0.0746
F  0.3691  0.2578  0.4254
F  0.3691  0.6113  0.9438
F  0.3887  0.0562  0.6309
F  0.3887  0.8325  0.7578
F  0.4254  0.3691  0.2578
F  0.4254  0.5562  0.1675
F  0.4438  0.1113  0.8691
F  0.4438  0.8325  0.5746
F  0.5562  0.1675  0.4254
F  0.5562  0.8887  0.1309
F  0.5746  0.4438  0.8325
F  0.5746  0.6309  0.7422
F  0.6113  0.1675  0.2422
F  0.6113  0.9438  0.3691
F  0.6309  0.3887  0.0562
F  0.6309  0.7422  0.5746
F  0.6675  0.0562  0.9254
F  0.6675  0.1113  0.7422
F  0.7422  0.5746  0.6309
F  0.7422  0.6675  0.1113
F  0.7578  0.3887  0.8325
F  0.7578  0.8691  0.9254
F  0.8325  0.5746  0.4438
F  0.8325  0.7578  0.3887
F  0.8691  0.4438  0.1113
F  0.8691  0.9254  0.7578
F  0.8887  0.1309  0.5562
F  0.8887  0.2578  0.3325
F  0.9254  0.6675  0.0562
F  0.9254  0.7578  0.8691
F  0.9438  0.0746  0.3325
F  0.9438  0.3691  0.6113

***

(3)
DFT (PBE) results for Sc6Pd12Rh after structural relaxation.

Properties
**Space group**: R-3, No. 148
**Energy of formation**: -1314 kJ/mol of formula units

a = 6.8917 Å, b = 6.8917 Å, c = 6.8917 Å
α = 91.79°, β = 91.79°, γ = 91.79°
Atoms (fractional coordinates):
Sc  0.2008  0.3610  0.7498
Sc  0.2502  0.7992  0.6390
Sc  0.3610  0.7498  0.2008
Sc  0.6390  0.2502  0.7992
Sc  0.7498  0.2008  0.3610
Sc  0.7992  0.6390  0.2502
Pd  0.0392  0.9601  0.2924
Pd  0.0399  0.7076  0.9608
Pd  0.1334  0.4589  0.3614
Pd  0.2924  0.0392  0.9601
Pd  0.3614  0.1334  0.4589
Pd  0.4589  0.3614  0.1334
Pd  0.5411  0.6386  0.8666
Pd  0.6386  0.8666  0.5411
Pd  0.7076  0.9608  0.0399
Pd  0.8666  0.5411  0.6386
Pd  0.9601  0.2924  0.0392
Pd  0.9608  0.0399  0.7076
Rh  0.5000  0.5000  0.5000

***

(4)
DFT (PBE) results for SrAsW2 after structural relaxation.

Properties
**Space group**: Cm, No. 8
**Energy of formation**: 137 kJ/mol of formula units

a = 4.5276 Å, b = 4.5276 Å, c = 6.6232 Å
α = 99.55°, β = 99.55°, γ = 43.09°
Atoms (fractional coordinates):
Sr  0.0000  0.0000  0.0000
As  0.7509  0.7509  0.3223
W  0.2190  0.2190  0.6328
W  0.4883  0.4883  0.4937

***

(5)
DFT (PBE) results for LiSc2InSn after structural relaxation.

Properties
**Space group**: P4/mmm, No. 123
**Energy of formation**: 50 kJ/mol of formula units

a = 4.9275 Å, b = 4.9275 Å, c = 4.6896 Å
α = 90.00°, β = 90.00°, γ = 90.00°
Atoms (fractional coordinates):
Li  0.0000  0.0000  0.0000
Sc  0.0000  0.5000  0.0000
Sc  0.5000  0.0000  0.0000
In  0.0000  0.0000  0.5000
Sn  0.5000  0.5000  0.5000

***

| no. | VASP energy (eV/cell) |
| --- | --- |
| 1 | -20.7 |
| 2 | -413.3 |
| 3 | -121.3 |
| 4 | -30.8 |
| 5 | -20.8 |